(a)
Entry from the Alexandria database: crystalline CrPb3Br at its relaxed geometry (PBE).

Cell and atoms, written as POSCAR:
```
CrPb3Br
1.0
5.2455 0.0000 0.0000
0.0000 5.2455 0.0000
0.0000 0.0000 5.2455
Cr Pb Br
1 3 1
Cartesian
0.0000 0.0000 0.0000
0.0000 0.0000 2.6228
0.0000 2.6228 0.0000
2.6228 0.0000 0.0000
2.6228 2.6228 2.6228
```

**Magnetic moment**: 1.00 Bohr magnetons per cell
**DOS at the Fermi energy**: 1.84 states/eV/f.u.
**Space group**: No. 221



(b)
Entry from the Alexandria database: crystalline CrPb3Br at its relaxed geometry (PBE).

Cell and atoms, written as POSCAR:
```
CrPb3Br
1.0
5.6969 0.0000 0.0000
0.0000 5.6969 0.0000
0.0000 0.0000 5.6969
Cr Pb Br
1 3 1
Cartesian
0.0000 0.0000 0.0000
0.0000 2.8484 2.8484
2.8484 0.0000 2.8484
2.8484 2.8484 0.0000
2.8484 2.8484 2.8484
```

**Magnetic moment**: 5.03 Bohr magnetons per cell
**DOS at the Fermi energy**: 2.18 states/eV/f.u.
**Space group**: No. 221



Relative energies with respect to the most stable structure, expressed in eV/atom: (a) 0.000; (b) 0.762.



(a)
Entry from the Alexandria database: crystalline Cr2PbBr at its relaxed geometry (PBE).

Cell and atoms, written as POSCAR:
```
Cr2PbBr
1.0
0.0000 3.6554 3.6554
3.6554 0.0000 3.6554
3.6554 3.6554 0.0000
Cr Pb Br
2 1 1
Cartesian
0.0000 0.0000 0.0000
1.8277 1.8277 1.8277
3.6554 3.6554 3.6554
5.4831 5.4831 5.4831
```

**Magnetic moment**: 8.93 Bohr magnetons per cell
**DOS at the Fermi energy**: 4.62 states/eV/f.u.
**Space group**: No. 216



(b)
Entry from the Alexandria database: crystalline Cr2PbBr at its relaxed geometry (PBE).

Cell and atoms, written as POSCAR:
```
Cr2PbBr
1.0
-1.6928 2.3757 5.8254
1.6928 -2.3757 5.8254
1.6928 2.3757 -5.8254
Cr Pb Br
2 1 1
Cartesian
0.0000 0.0000 0.0000
0.0000 2.3757 3.8656
1.6928 0.0000 4.1256
0.0000 0.0000 7.3285
```

**Magnetic moment**: 0.43 Bohr magnetons per cell
**DOS at the Fermi energy**: 2.03 states/eV/f.u.
**Space group**: No. 44



Relative energies with respect to the most stable structure, expressed in eV/atom: (a) 0.492; (b) 0.000.



(a)
Entry from the Alexandria database: crystalline Cr2PbBr at its relaxed geometry (PBE).

Cell and atoms, written as POSCAR:
```
Cr2PbBr
1.0
-3.7708 3.7708 3.3455
3.7708 -3.7708 3.3455
3.7708 3.7708 -3.3455
Cr Pb Br
4 2 2
Cartesian
5.6562 1.7345 -0.8364
1.7345 1.8854 0.8364
-1.8854 2.0363 2.5091
2.0363 1.8854 4.1819
3.7708 0.0000 1.6727
0.0000 0.0000 3.3455
0.0000 0.0000 0.0000
0.0000 3.7708 1.6727
```

**Magnetic moment**: 17.80 Bohr magnetons per cell
**DOS at the Fermi energy**: 2.66 states/eV/f.u.
**Space group**: No. 122



(b)
Entry from the Alexandria database: crystalline Cr2PbBr at its relaxed geometry (PBE).

Cell and atoms, written as POSCAR:
```
Cr2PbBr
1.0
2.0968 -2.7478 0.0000
2.0968 2.7478 0.0000
0.0000 0.0000 7.9094
Cr Pb Br
2 1 1
Cartesian
0.0000 0.0000 1.9427
0.0000 0.0000 5.9667
2.0968 0.0000 3.9547
2.0968 0.0000 0.0000
```

**Magnetic moment**: 8.77 Bohr magnetons per cell
**DOS at the Fermi energy**: 1.78 states/eV/f.u.
**Space group**: No. 65



(c)
Entry from the Alexandria database: crystalline Cr2PbBr at its relaxed geometry (PBE).

Cell and atoms, written as POSCAR:
```
Cr2PbBr
1.0
3.7613 -3.7282 0.0000
3.7613 3.7282 0.0000
-0.8085 0.0000 3.2220
Cr Pb Br
2 1 1
Cartesian
1.8807 1.8641 0.0000
1.8807 -1.8641 0.0000
-0.4043 0.0000 1.6110
3.3571 0.0000 1.6110
```

**Magnetic moment**: 8.26 Bohr magnetons per cell
**DOS at the Fermi energy**: 1.87 states/eV/f.u.
**Space group**: No. 12



(d)
Entry from the Alexandria database: crystalline Cr2PbBr at its relaxed geometry (PBE).

Cell and atoms, written as POSCAR:
```
Cr2PbBr
1.0
3.4393 0.0000 0.0000
0.0000 3.7115 0.0000
0.0000 0.0000 7.7256
Cr Pb Br
2 1 1
Cartesian
0.0000 0.0000 0.0000
1.7197 1.8558 0.1692
1.7197 0.0000 2.4679
0.0000 1.8558 5.8402
```

**Magnetic moment**: 0.03 Bohr magnetons per cell
**DOS at the Fermi energy**: 1.38 states/eV/f.u.
**Space group**: No. 25



Relative energies with respect to the most stable structure, expressed in eV/atom: (a) 0.344; (b) 0.219; (c) 0.309; (d) 0.000.



(a)
Entry from the Alexandria database: crystalline Cr2PbBr at its relaxed geometry (PBE).

Cell and atoms, written as POSCAR:
```
Cr2PbBr
1.0
0.0000 3.4959 3.4959
3.4959 0.0000 3.4959
3.4959 3.4959 0.0000
Cr Pb Br
2 1 1
Cartesian
1.7479 1.7479 1.7479
5.2438 5.2438 5.2438
0.0000 0.0000 0.0000
3.4959 3.4959 3.4959
```

**Magnetic moment**: 7.61 Bohr magnetons per cell
**DOS at the Fermi energy**: 3.23 states/eV/f.u.
**Space group**: No. 225



(b)
Entry from the Alexandria database: crystalline Cr2PbBr at its relaxed geometry (PBE).

Cell and atoms, written as POSCAR:
```
Cr2PbBr
1.0
3.4130 0.0000 0.0000
0.0000 3.4130 0.0000
0.0000 0.0000 7.6230
Cr Pb Br
2 1 1
Cartesian
0.0000 0.0000 1.8849
0.0000 0.0000 5.7381
1.7065 1.7065 3.8115
1.7065 1.7065 0.0000
```

**Magnetic moment**: 8.74 Bohr magnetons per cell
**DOS at the Fermi energy**: 2.16 states/eV/f.u.
**Space group**: No. 123



Relative energies with respect to the most stable structure, expressed in eV/atom: (a) 0.160; (b) 0.000.



(a)
Entry from the Alexandria database: crystalline Cr2PbBr at its relaxed geometry (PBE).

Cell and atoms, written as POSCAR:
```
Cr2PbBr
1.0
3.4420 0.0000 0.0000
0.0000 3.7723 0.0000
0.0000 0.0000 7.3493
Cr Pb Br
2 1 1
Cartesian
0.0000 0.0000 1.5580
0.0000 0.0000 5.7913
1.7210 1.8861 0.0000
1.7210 0.0000 3.6747
```

**Magnetic moment**: 8.20 Bohr magnetons per cell
**DOS at the Fermi energy**: 1.70 states/eV/f.u.
**Space group**: No. 47



(b)
Entry from the Alexandria database: crystalline Cr2PbBr at its relaxed geometry (PBE).

Cell and atoms, written as POSCAR:
```
Cr2PbBr
1.0
3.1511 -1.8169 0.0000
3.1511 1.8169 0.0000
-2.1194 0.0000 8.0389
Cr Pb Br
2 1 1
Cartesian
1.0441 0.0000 1.9525
3.1388 0.0000 6.0863
-1.0597 0.0000 4.0194
3.1511 0.0000 0.0000
```

**Magnetic moment**: 8.85 Bohr magnetons per cell
**DOS at the Fermi energy**: 1.81 states/eV/f.u.
**Space group**: No. 12



Relative energies with respect to the most stable structure, expressed in eV/atom: (a) 0.000; (b) 0.036.



(a)
Entry from the Alexandria database: crystalline CrSiPbBr2 at its relaxed geometry (PBE).

Cell and atoms, written as POSCAR:
```
CrSiPbBr2
1.0
5.8482 0.0000 0.0000
0.0000 5.8482 0.0000
0.0000 0.0000 5.5884
Cr Si Pb Br
1 1 1 2
Cartesian
0.0000 0.0000 0.0000
2.9241 2.9241 0.0000
0.0000 0.0000 2.7942
0.0000 2.9241 2.7942
2.9241 0.0000 2.7942
```

**Magnetic moment**: 6.43 Bohr magnetons per cell
**DOS at the Fermi energy**: 3.58 states/eV/f.u.
**Space group**: No. 123



(b)
Entry from the Alexandria database: crystalline CrSiPbBr2 at its relaxed geometry (PBE).

Cell and atoms, written as POSCAR:
```
CrSiPbBr2
1.0
5.0911 0.0000 0.0000
0.0000 5.0911 0.0000
0.0000 0.0000 5.7900
Cr Si Pb Br
1 1 1 2
Cartesian
0.0000 0.0000 0.0000
2.5455 2.5455 2.8950
2.5455 2.5455 0.0000
0.0000 2.5455 2.8950
2.5455 0.0000 2.8950
```

**Magnetic moment**: 4.96 Bohr magnetons per cell
**DOS at the Fermi energy**: 2.23 states/eV/f.u.
**Space group**: No. 123



Relative energies with respect to the most stable structure, expressed in eV/atom: (a) 0.359; (b) 0.000.